Entry w
Compound: MgUNb
Source: OQMD
Functional: PBE
Structure: relaxed

Structure (POSCAR):
```
MgUNb
1.0
6.616 0.000 0.000
0.000 6.616 0.000
0.000 0.000 6.616
Mg U Nb
4 4 4
Cartesian
0.000 0.000 0.000
0.000 3.308 3.308
3.308 0.000 3.308
3.308 3.308 0.000
1.654 1.654 1.654
1.654 4.962 4.962
4.962 1.654 4.962
4.962 4.962 1.654
0.000 0.000 3.308
0.000 3.308 0.000
3.308 0.000 0.000
3.308 3.308 3.308
```

Properties
* size of the total moment: 0.7 μB per formula unit



Entry x
Compound: MgUNb
Source: OQMD
Functional: PBE
Structure: relaxed

Structure (POSCAR):
```
MgUNb
1.0
6.539 0.000 0.000
0.000 6.539 0.000
0.000 0.000 6.539
Mg U Nb
4 4 4
Cartesian
0.000 0.000 0.000
0.000 3.269 3.269
3.269 0.000 3.269
3.269 3.269 0.000
0.000 0.000 3.269
0.000 3.269 0.000
3.269 0.000 0.000
3.269 3.269 3.269
1.635 1.635 1.635
1.635 4.904 4.904
4.904 1.635 4.904
4.904 4.904 1.635
```

Properties
* size of the total moment: 0.6 μB per formula unit



Of them, the most stable is entry x and the least stable is entry w.



Entry w
Compound: NdThMg
Source: OQMD
Functional: PBE
Structure: relaxed

Structure (POSCAR):
```
NdThMg
1.0
7.462 0.000 0.000
0.000 7.462 0.000
0.000 0.000 7.462
Nd Th Mg
4 4 4
Cartesian
0.000 0.000 0.000
0.000 3.731 3.731
3.731 0.000 3.731
3.731 3.731 0.000
0.000 0.000 3.731
0.000 3.731 0.000
3.731 0.000 0.000
3.731 3.731 3.731
1.866 1.866 1.866
1.866 5.597 5.597
5.597 1.866 5.597
5.597 5.597 1.866
```

Properties
* size of the total moment: 0.0 μB per formula unit



Entry x
Compound: NdThMg
Source: OQMD
Functional: PBE
Structure: relaxed

Structure (POSCAR):
```
NdThMg
1.0
5.569 0.000 0.000
-2.785 4.823 0.000
0.000 0.000 10.226
Nd Th Mg
3 3 3
Cartesian
0.000 0.000 0.000
0.000 0.000 3.389
0.000 0.000 6.832
0.000 3.215 5.454
0.000 3.215 8.809
2.785 1.608 0.877
0.000 3.215 2.017
2.785 1.608 4.445
2.785 1.608 7.622
```

Properties
* size of the total moment: 0.0 μB per formula unit



Of them, the most stable is entry x and the least stable is entry w.



Entry w
Compound: Mg4Ni3
Source: OQMD
Functional: PBE
Structure: relaxed

Structure (POSCAR):
```
Mg4Ni3
1.0
7.522 0.000 0.000
-3.761 6.514 0.000
0.000 0.000 4.455
Mg Ni
8 6
Cartesian
-0.957 2.763 1.114
0.000 4.343 3.341
-0.890 5.961 1.114
1.914 2.210 3.341
1.847 4.304 1.114
4.651 0.553 3.341
3.761 2.171 1.114
4.718 3.751 3.341
-0.479 1.392 3.341
-2.316 6.232 3.341
0.966 1.110 1.114
2.795 5.404 3.341
6.077 0.281 1.114
4.239 5.122 1.114
```

Properties
* size of the total moment: 0.0 μB per formula unit



Entry x
Compound: Mg4Ni3
Source: OQMD
Functional: PBE
Structure: relaxed

Structure (POSCAR):
```
Mg4Ni3
1.0
7.421 0.000 0.000
-3.711 6.427 0.000
0.000 0.000 4.445
Mg Ni
8 6
Cartesian
-0.772 1.638 1.111
-1.906 6.277 1.111
1.033 1.488 3.334
0.000 4.285 1.111
3.711 2.142 3.334
2.678 4.939 1.111
5.616 0.150 3.334
4.483 4.789 3.334
-1.024 3.126 3.334
-0.492 5.751 3.334
2.195 2.450 1.111
1.516 3.978 3.334
4.203 0.676 1.111
4.735 3.302 1.111
```

Properties
* size of the total moment: 0.0 μB per formula unit



Of them, the most stable is entry x and the least stable is entry w.



Entry w
Compound: MgScNiPb
Source: OQMD
Functional: PBE
Structure: relaxed

Structure (POSCAR):
```
MgScNiPb
1.0
6.718 0.000 0.000
0.000 6.718 0.000
0.000 0.000 6.718
Mg Sc Ni Pb
4 4 4 4
Cartesian
0.000 0.000 0.000
0.000 3.359 3.359
3.359 0.000 3.359
3.359 3.359 0.000
1.680 1.680 5.039
1.680 5.039 1.680
5.039 1.680 1.680
5.039 5.039 5.039
0.000 0.000 3.359
0.000 3.359 0.000
3.359 0.000 0.000
3.359 3.359 3.359
1.680 1.680 1.680
1.680 5.039 5.039
5.039 1.680 5.039
5.039 5.039 1.680
```

Properties
* size of the total moment: 0.0 μB per formula unit



Entry x
Compound: MgScNiPb
Source: OQMD
Functional: PBE
Structure: relaxed

Structure (POSCAR):
```
MgScNiPb
1.0
6.741 0.000 0.000
0.000 6.741 0.000
0.000 0.000 6.741
Mg Sc Ni Pb
4 4 4 4
Cartesian
0.000 0.000 0.000
0.000 3.370 3.370
3.370 0.000 3.370
3.370 3.370 0.000
1.685 1.685 5.055
1.685 5.055 1.685
5.055 1.685 1.685
5.055 5.055 5.055
1.685 1.685 1.685
1.685 5.055 5.055
5.055 1.685 5.055
5.055 5.055 1.685
0.000 0.000 3.370
0.000 3.370 0.000
3.370 0.000 0.000
3.370 3.370 3.370
```

Properties
* size of the total moment: 0.1 μB per formula unit



Of them, the most stable is entry w and the least stable is entry x.



Entry w
Compound: PmMgNi
Source: OQMD
Functional: PBE
Structure: relaxed

Structure (POSCAR):
```
PmMgNi
1.0
6.802 0.000 0.000
0.000 6.802 0.000
0.000 0.000 6.802
Pm Mg Ni
4 4 4
Cartesian
0.000 0.000 0.000
0.000 3.401 3.401
3.401 0.000 3.401
3.401 3.401 0.000
1.701 1.701 5.102
1.701 5.102 1.701
5.102 1.701 1.701
5.102 5.102 5.102
1.701 1.701 1.701
1.701 5.102 5.102
5.102 1.701 5.102
5.102 5.102 1.701
```

Properties
* size of the total moment: 0.0 μB per formula unit



Entry x
Compound: PmMgNi
Source: OQMD
Functional: PBE
Structure: relaxed

Structure (POSCAR):
```
PmMgNi
1.0
6.566 0.000 0.000
0.000 6.566 0.000
0.000 0.000 6.566
Pm Mg Ni
4 4 4
Cartesian
0.000 0.000 0.000
0.000 3.283 3.283
3.283 0.000 3.283
3.283 3.283 0.000
0.000 0.000 3.283
0.000 3.283 0.000
3.283 0.000 0.000
3.283 3.283 3.283
1.642 1.642 4.925
1.642 4.925 1.642
4.925 1.642 1.642
4.925 4.925 4.925
```

Properties
* size of the total moment: 0.0 μB per formula unit



Of them, the most stable is entry x and the least stable is entry w.



Entry w
Compound: RbMgNiSb
Source: OQMD
Functional: PBE
Structure: relaxed

Structure (POSCAR):
```
RbMgNiSb
1.0
7.232 0.000 0.000
0.000 7.232 0.000
0.000 0.000 7.232
Rb Mg Ni Sb
4 4 4 4
Cartesian
0.000 0.000 0.000
0.000 3.616 3.616
3.616 0.000 3.616
3.616 3.616 0.000
1.808 1.808 5.424
1.808 5.424 1.808
5.424 1.808 1.808
5.424 5.424 5.424
0.000 0.000 3.616
0.000 3.616 0.000
3.616 0.000 0.000
3.616 3.616 3.616
1.808 1.808 1.808
1.808 5.424 5.424
5.424 1.808 5.424
5.424 5.424 1.808
```

Properties
* size of the total moment: 0.0 μB per formula unit



Entry x
Compound: RbMgNiSb
Source: OQMD
Functional: PBE
Structure: relaxed

Structure (POSCAR):
```
RbMgNiSb
1.0
7.166 0.000 0.000
0.000 7.166 0.000
0.000 0.000 7.166
Rb Mg Ni Sb
4 4 4 4
Cartesian
0.000 0.000 0.000
0.000 3.583 3.583
3.583 0.000 3.583
3.583 3.583 0.000
1.792 1.792 5.375
1.792 5.375 1.792
5.375 1.792 1.792
5.375 5.375 5.375
1.792 1.792 1.792
1.792 5.375 5.375
5.375 1.792 5.375
5.375 5.375 1.792
0.000 0.000 3.583
0.000 3.583 0.000
3.583 0.000 0.000
3.583 3.583 3.583
```

Properties
* size of the total moment: 0.0 μB per formula unit



Entry y
Compound: RbMgNiSb
Source: OQMD
Functional: PBE
Structure: relaxed

Structure (POSCAR):
```
RbMgNiSb
1.0
7.441 0.000 0.000
0.000 7.441 0.000
0.000 0.000 7.441
Rb Mg Ni Sb
4 4 4 4
Cartesian
0.000 0.000 0.000
0.000 3.721 3.721
3.721 0.000 3.721
3.721 3.721 0.000
0.000 0.000 3.721
0.000 3.721 0.000
3.721 0.000 0.000
3.721 3.721 3.721
1.860 1.860 5.581
1.860 5.581 1.860
5.581 1.860 1.860
5.581 5.581 5.581
1.860 1.860 1.860
1.860 5.581 5.581
5.581 1.860 5.581
5.581 5.581 1.860
```

Properties
* size of the total moment: 0.5 μB per formula unit



Of them, the most stable is entry x and the least stable is entry y.